Compound: BaCaBr2N
Source: Alexandria via LeMat-Bulk
Functional: PBEsol
Structure: relaxed

a = 5.9417 Å, b = 5.9417 Å, c = 4.1934 Å
α = 90.00°, β = 90.00°, γ = 90.00°
Last column: nearest neighbours and their distance in Å.
Space group P4/mmm (No. 123)
Inequivalent atoms, fractional coordinates:
Ba 0.0000 0.0000 0.0000 [1 per cell]  8 Br 3.64
Ca 0.5000 0.5000 0.0000 [1 per cell]  2 N 2.10
Br 0.0000 0.5000 0.5000 [2 per cell]  2 N 2.97
N 0.5000 0.5000 0.5000 [1 per cell]  2 Ca 2.10

Calculated values
D(E_F): 2.01 states/eV/cell
Formation energy from raw total energies: -522 meV/atom

***

Compound: BaCd2Br
Source: Alexandria via LeMat-Bulk
Functional: PBEsol
Structure: relaxed

a = 7.9325 Å, b = 7.9325 Å, c = 7.9325 Å
α = 90.00°, β = 90.00°, γ = 90.00°
Last column: nearest neighbours and their distance in Å.
Space group Fm-3m (No. 225)
Inequivalent atoms, fractional coordinates:
Ba 0.0000 0.0000 0.0000 [4 per cell]  8 Cd 3.43
Cd 0.2500 0.2500 0.2500 [8 per cell]  4 Ba 3.43, 4 Br 3.43
Br 0.0000 0.0000 0.5000 [4 per cell]  8 Cd 3.43

Calculated values
D(E_F): 8.62 states/eV/cell
Formation energy from raw total energies: -365 meV/atom
Distance to the lowest polymorph of the same formula: 287.5 meV/atom

***

Compound: BaCd2Br
Source: Alexandria via LeMat-Bulk
Functional: PBEsol
Structure: relaxed

a = 4.6735 Å, b = 4.6735 Å, c = 6.2039 Å
α = 90.00°, β = 90.00°, γ = 90.00°
Last column: nearest neighbours and their distance in Å.
Space group P4/mmm (No. 123)
Inequivalent atoms, fractional coordinates:
Ba 0.0000 0.0000 0.0000 [1 per cell]  2 Br 3.10
Cd 0.5000 0.5000 0.2659 [2 per cell]  1 Cd 2.90
Br 0.0000 0.0000 0.5000 [1 per cell]  2 Ba 3.10

Calculated values
D(E_F): 1.60 states/eV/cell
Formation energy from raw total energies: -499 meV/atom
Distance to the lowest polymorph of the same formula: 154.3 meV/atom

***

Compound: BaCd2Br
Source: Alexandria via LeMat-Bulk
Functional: PBEsol
Structure: relaxed

a = 4.0579 Å, b = 4.0579 Å, c = 7.5333 Å
α = 90.00°, β = 90.00°, γ = 90.00°
Last column: nearest neighbours and their distance in Å.
Space group P4mm (No. 99)
Inequivalent atoms, fractional coordinates:
Ba 0.0000 0.0000 0.0000 [1 per cell]  4 Br 3.27, 1 Cd 3.39
Cd 0.0000 0.0000 0.5504 [1 per cell]  4 Cd 3.03, 1 Ba 3.39
Cd 0.5000 0.5000 0.6780 [1 per cell]  4 Cd 3.03
Br 0.5000 0.5000 0.2070 [1 per cell]  4 Ba 3.27, 1 Cd 3.55

Calculated values
D(E_F): 2.71 states/eV/cell
Formation energy from raw total energies: -653 meV/atom
Distance to the lowest polymorph of the same formula: 0.0 meV/atom

***

Among the records above, which one has the lowest D(E_F)? number 3

***

The lowest D(E_F) belongs to which entry? number 3

***

What did the first record say?
Compound: BaCaBr2N
Source: Alexandria via LeMat-Bulk
Functional: PBEsol
Structure: relaxed

a = 5.9417 Å, b = 5.9417 Å, c = 4.1934 Å
α = 90.00°, β = 90.00°, γ = 90.00°
Last column: nearest neighbours and their distance in Å.
Space group P4/mmm (No. 123)
Inequivalent atoms, fractional coordinates:
Ba 0.0000 0.0000 0.0000 [1 per cell]  8 Br 3.64
Ca 0.5000 0.5000 0.0000 [1 per cell]  2 N 2.10
Br 0.0000 0.5000 0.5000 [2 per cell]  2 N 2.97
N 0.5000 0.5000 0.5000 [1 per cell]  2 Ca 2.10

Calculated values
D(E_F): 2.01 states/eV/cell
Formation energy from raw total energies: -522 meV/atom